Material: YZn2Rh2
Method: DFT, PBE
State: optimized geometry

Output
As for the energy relative to the lowest polymorph listed for this composition: 17 meV per atom. The value obtained for the formation energy is -0.52 eV/atom. The volume comes out at 16.7 A^3/atom.

Cell lengths 7.310, 7.310, 3.123 Å; angles 90.00, 90.00, 90.00 degrees
Element x y z (fractional)
Rh 0.352 0.852 0.000
Zn 0.354 0.146 0.500
Rh 0.148 0.352 0.000
Rh 0.852 0.648 0.000
Y 0.500 0.500 0.000
Y 0.000 0.000 0.000
Rh 0.648 0.148 0.000
Zn 0.854 0.354 0.500
Zn 0.146 0.646 0.500
Zn 0.646 0.854 0.500